1.
A plane-wave DFT calculation with PBE-GGA was carried out for crystalline SmMgGa at its relaxed geometry.

Structure (extended XYZ):
```
12
Lattice="-1.319 -7.293 1.073 1.129 -0.826 -4.225 8.184 -1.126 2.406" Properties=species:S:1:pos:R:3 pbc="T T T"
Ga 0.859 -6.139 -2.087
Ga 3.638 -2.784 -2.000
Ga 4.355 -6.460 1.254
Ga 7.135 -3.105 1.341
Mg 0.867 -3.254 -2.648
Mg 3.329 -7.330 -1.194
Mg 4.664 -1.914 0.448
Mg 7.126 -5.990 1.902
Sm 1.744 -0.577 -0.593
Sm 2.193 -4.375 0.269
Sm 5.801 -4.869 -1.015
Sm 6.249 -8.668 -0.153
```

Summary:
E in eV/cell: -42.64
Crystal system: orthorhombic
Offset from the most stable computed form in meV per atom: 42
ρ in Mg/m³: 5.66
Spin magnetization in μB/cell: 0.024


2.
A plane-wave DFT calculation with PBE-GGA was carried out for crystalline SmMgGa at its relaxed geometry.

Structure (extended XYZ):
```
9
Lattice="-5.787 -1.521 4.332 5.215 -5.109 -1.126 2.267 1.529 3.565" Properties=species:S:1:pos:R:3 pbc="T T T"
Ga -2.119 -2.717 2.513
Ga 1.548 -3.913 0.694
Ga 1.134 0.764 1.782
Mg -1.404 -0.369 1.051
Mg 1.266 -1.240 -0.273
Mg -0.433 -5.021 2.429
Sm -2.191 -0.109 4.272
Sm 0.890 -2.056 3.147
Sm 4.130 -2.171 1.136
```

Summary:
E in eV/cell: -32.36
Crystal system: hexagonal
Offset from the most stable computed form in meV per atom: 0
ρ in Mg/m³: 5.73
Spin magnetization in μB/cell: 0.000


3.
A plane-wave DFT calculation with PBE-GGA was carried out for crystalline SmMgGa at its relaxed geometry.

Structure (extended XYZ):
```
9
Lattice="7.316 0.000 0.000 -3.658 6.335 0.000 0.000 0.000 4.588" Properties=species:S:1:pos:R:3 pbc="T T T"
Ga 1.773 0.000 0.000
Ga -0.886 1.535 0.000
Ga 2.771 4.800 0.000
Mg 3.658 2.112 0.000
Mg 0.000 4.224 0.000
Mg 0.000 0.000 2.294
Sm 4.173 0.000 2.294
Sm 1.571 2.722 2.294
Sm -2.086 3.614 2.294
```

Summary:
E in eV/cell: -30.17
Crystal system: hexagonal
Offset from the most stable computed form in meV per atom: 243
ρ in Mg/m³: 5.73
Spin magnetization in μB/cell: 0.043


4.
A plane-wave DFT calculation with PBE-GGA was carried out for crystalline SmMgGa at its relaxed geometry.

Structure (extended XYZ):
```
3
Lattice="0.000 3.501 3.501 3.501 0.000 3.501 3.501 3.501 0.000" Properties=species:S:1:pos:R:3 pbc="T T T"
Ga 1.751 1.751 1.751
Mg 5.251 5.251 5.251
Sm 0.000 0.000 0.000
```

Summary:
E in eV/cell: -8.74
Crystal system: cubic
Offset from the most stable computed form in meV per atom: 682
ρ in Mg/m³: 4.73
Spin magnetization in μB/cell: 0.002


5.
A plane-wave DFT calculation with PBE-GGA was carried out for crystalline SmMgGa at its relaxed geometry.

Structure (extended XYZ):
```
9
Lattice="8.020 0.000 0.000 -4.010 6.945 0.000 0.000 0.000 4.096" Properties=species:S:1:pos:R:3 pbc="T T T"
Ga 4.010 2.315 0.000
Ga 0.000 4.630 0.000
Ga 0.000 0.000 2.048
Mg 4.801 0.000 2.048
Mg 1.609 2.787 2.048
Mg -2.400 4.158 2.048
Sm 2.132 0.000 0.000
Sm -1.066 1.846 0.000
Sm 2.944 5.099 0.000
```

Summary:
E in eV/cell: -30.10
Crystal system: hexagonal
Offset from the most stable computed form in meV per atom: 252
ρ in Mg/m³: 5.34
Spin magnetization in μB/cell: 0.416


6.
A plane-wave DFT calculation with PBE-GGA was carried out for crystalline SmMgGa at its relaxed geometry.

Structure (extended XYZ):
```
6
Lattice="-1.606 -4.156 -1.540 3.744 1.990 -2.060 4.484 -3.499 4.768" Properties=species:S:1:pos:R:3 pbc="T T T"
Ga 4.073 -1.707 0.359
Ga 4.532 -5.506 2.917
Mg 2.069 -0.143 -1.772
Mg 2.527 -3.942 0.785
Sm 1.142 -0.892 1.215
Sm 3.384 -2.641 3.599
```

Summary:
E in eV/cell: -21.19
Crystal system: hexagonal
Offset from the most stable computed form in meV per atom: 64
ρ in Mg/m³: 5.68
Spin magnetization in μB/cell: 0.001


7.
A plane-wave DFT calculation with PBE-GGA was carried out for crystalline SmMgGa at its relaxed geometry.

Structure (extended XYZ):
```
6
Lattice="5.069 0.000 0.000 -2.534 4.390 0.000 0.000 0.000 6.280" Properties=species:S:1:pos:R:3 pbc="T T T"
Ga 0.000 2.926 1.570
Ga 2.534 1.463 4.710
Mg 0.000 0.000 0.000
Mg 0.000 0.000 3.140
Sm 2.534 1.463 1.570
Sm 0.000 2.926 4.710
```

Summary:
E in eV/cell: -21.37
Crystal system: hexagonal
Offset from the most stable computed form in meV per atom: 34
ρ in Mg/m³: 5.81
Spin magnetization in μB/cell: 0.001


8.
A plane-wave DFT calculation with PBE-GGA was carried out for crystalline SmMgGa at its relaxed geometry.

Structure (extended XYZ):
```
12
Lattice="-2.114 -1.517 -7.554 -1.793 -2.601 1.024 -8.629 6.393 1.130" Properties=species:S:1:pos:R:3 pbc="T T T"
Ga -2.511 0.457 -0.544
Ga -4.334 0.266 -4.220
Ga -8.201 2.010 -1.179
Ga -10.024 1.818 -4.856
Mg -3.251 -1.854 -2.324
Mg -6.613 -0.904 -5.799
Mg -5.922 3.180 0.400
Mg -9.284 4.129 -3.075
Sm -3.895 -2.648 -5.471
Sm -5.599 0.156 -1.332
Sm -6.936 2.120 -4.068
Sm -8.640 4.924 0.071
```

Summary:
E in eV/cell: -40.28
Crystal system: orthorhombic
Offset from the most stable computed form in meV per atom: 240
ρ in Mg/m³: 5.67
Spin magnetization in μB/cell: 0.003


- The highest offset from the most stable computed form belongs to which entry?
  number 4